Mo2OsAu: relaxed, PBE-GGA.

Uncorrected energy, eV/atom: -8.828
E above lowest polymorph, meV/atom: 99
Magnetization, Bohr magnetons per cell: 0.0
Energy of formation from the pure elements, eV per formula unit: 0.9

```
Mo2OsAu
1.0
1.399 0.808 9.374
-1.399 0.808 9.374
0.000 -1.616 9.374
Mo Os Au
2 1 1
Direct
0.246 0.246 0.246 Mo
0.754 0.754 0.754 Mo
0.500 0.500 0.500 Os
0.000 0.000 0.000 Au
```

***

Mo2Os2Au: relaxed, PBE-GGA.

Uncorrected energy, eV/atom: -9.177
E above lowest polymorph, meV/atom: 108
Magnetization, Bohr magnetons per cell: 0.0
Energy of formation from the pure elements, eV per formula unit: 1.5

```
Mo2Os2Au
1.0
7.682 0.000 0.000
0.000 7.682 0.000
0.000 0.000 2.808
Mo Os Au
4 4 2
Direct
0.148 0.352 0.000 Mo
0.352 0.852 0.000 Mo
0.648 0.148 0.000 Mo
0.852 0.648 0.000 Mo
0.143 0.643 0.500 Os
0.357 0.143 0.500 Os
0.643 0.857 0.500 Os
0.857 0.357 0.500 Os
0.000 0.000 0.000 Au
0.500 0.500 0.000 Au
```

***

MoOs2Au: relaxed, PBE-GGA.

Uncorrected energy, eV/atom: -8.754
E above lowest polymorph, meV/atom: 136
Magnetization, Bohr magnetons per cell: 0.0
Energy of formation from the pure elements, eV per formula unit: 1.6

```
MoOs2Au
1.0
3.987 0.000 0.000
0.000 3.987 0.000
0.000 0.000 3.848
Mo Os Au
1 2 1
Direct
0.000 0.000 0.000 Mo
0.000 0.500 0.500 Os
0.500 0.000 0.500 Os
0.500 0.500 0.000 Au
```

***

Mo2OsAu: relaxed, PBE-GGA.

Uncorrected energy, eV/atom: -8.768
E above lowest polymorph, meV/atom: 159
Magnetization, Bohr magnetons per cell: 0.0
Energy of formation from the pure elements, eV per formula unit: 1.1

```
Mo2OsAu
1.0
-1.994 1.994 3.954
1.994 -1.994 3.954
1.994 1.994 -3.954
Mo Os Au
2 1 1
Direct
0.000 0.000 0.000 Mo
0.750 0.250 0.500 Mo
0.500 0.500 0.000 Os
0.250 0.750 0.500 Au
```

***

Mo2OsAu: relaxed, PBE-GGA.

Uncorrected energy, eV/atom: -8.490
E above lowest polymorph, meV/atom: 437
Magnetization, Bohr magnetons per cell: 0.0
Energy of formation from the pure elements, eV per formula unit: 2.2

```
Mo2OsAu
1.0
0.000 3.182 3.182
3.182 0.000 3.182
3.182 3.182 0.000
Mo Os Au
2 1 1
Direct
0.250 0.250 0.250 Mo
0.750 0.750 0.750 Mo
0.000 0.000 0.000 Os
0.500 0.500 0.500 Au
```

***

MoOs2Au: relaxed, PBE-GGA.

Uncorrected energy, eV/atom: -8.624
E above lowest polymorph, meV/atom: 266
Magnetization, Bohr magnetons per cell: 0.0
Energy of formation from the pure elements, eV per formula unit: 2.1

```
MoOs2Au
1.0
3.258 0.000 0.000
0.000 3.258 0.000
0.000 0.000 5.941
Mo Os Au
1 2 1
Direct
0.000 0.000 0.000 Mo
0.500 0.500 0.233 Os
0.500 0.500 0.767 Os
0.000 0.000 0.500 Au
```

***

MoOs2Au: relaxed, PBE-GGA.

Uncorrected energy, eV/atom: -8.839
E above lowest polymorph, meV/atom: 51
Magnetization, Bohr magnetons per cell: 0.0
Energy of formation from the pure elements, eV per formula unit: 1.2

```
MoOs2Au
1.0
4.653 -1.398 0.000
4.653 1.398 0.000
-0.892 0.000 4.783
Mo Os Au
1 2 1
Direct
0.000 0.000 0.000 Mo
0.262 0.262 0.775 Os
0.738 0.738 0.225 Os
0.500 0.500 0.500 Au
```

***

Mo2OsAu: relaxed, PBE-GGA.

Uncorrected energy, eV/atom: -8.845
E above lowest polymorph, meV/atom: 82
Magnetization, Bohr magnetons per cell: 0.0
Energy of formation from the pure elements, eV per formula unit: 0.8

```
Mo2OsAu
1.0
3.923 0.000 0.000
0.000 3.923 0.000
0.000 0.000 4.058
Mo Os Au
2 1 1
Direct
0.000 0.500 0.000 Mo
0.500 0.000 0.000 Mo
0.000 0.000 0.500 Os
0.500 0.500 0.500 Au
```

***

MoOs2Au: relaxed, PBE-GGA.

Uncorrected energy, eV/atom: -8.547
E above lowest polymorph, meV/atom: 343
Magnetization, Bohr magnetons per cell: 0.0
Energy of formation from the pure elements, eV per formula unit: 2.4

```
MoOs2Au
1.0
0.000 3.153 3.153
3.153 0.000 3.153
3.153 3.153 0.000
Mo Os Au
1 2 1
Direct
0.000 0.000 0.000 Mo
0.250 0.250 0.250 Os
0.750 0.750 0.750 Os
0.500 0.500 0.500 Au
```

***

MoOs2Au: relaxed, PBE-GGA.

Uncorrected energy, eV/atom: -8.229
E above lowest polymorph, meV/atom: 661
Magnetization, Bohr magnetons per cell: 0.0
Energy of formation from the pure elements, eV per formula unit: 3.7

```
MoOs2Au
1.0
-3.617 3.617 2.688
3.617 -3.617 2.688
3.617 3.617 -2.688
Mo Os Au
2 4 2
Direct
0.000 0.000 0.000 Mo
0.750 0.250 0.500 Mo
0.083 0.625 0.958 Os
0.375 0.333 0.458 Os
0.667 0.125 0.042 Os
0.875 0.917 0.542 Os
0.250 0.750 0.500 Au
0.500 0.500 0.000 Au
```

***

Mo2OsAu: relaxed, PBE-GGA.

Uncorrected energy, eV/atom: -8.848
E above lowest polymorph, meV/atom: 79
Magnetization, Bohr magnetons per cell: 0.0
Energy of formation from the pure elements, eV per formula unit: 0.8

```
Mo2OsAu
1.0
2.778 -4.009 0.000
2.778 4.009 0.000
0.000 0.000 2.816
Mo Os Au
2 1 1
Direct
0.000 0.500 0.000 Mo
0.500 0.000 0.000 Mo
0.000 0.000 0.500 Os
0.500 0.500 0.500 Au
```

***

Mo2OsAu: relaxed, PBE-GGA.

Uncorrected energy, eV/atom: -8.706
E above lowest polymorph, meV/atom: 221
Magnetization, Bohr magnetons per cell: 0.0
Energy of formation from the pure elements, eV per formula unit: 1.3

```
Mo2OsAu
1.0
4.718 0.000 0.000
0.000 2.913 0.000
-1.486 0.000 4.590
Mo Os Au
2 1 1
Direct
0.000 0.000 0.000 Mo
0.500 0.500 0.000 Mo
0.000 0.500 0.500 Os
0.500 0.000 0.500 Au
```

***

Mo2OsAu: relaxed, PBE-GGA.

Uncorrected energy, eV/atom: -8.729
E above lowest polymorph, meV/atom: 198
Magnetization, Bohr magnetons per cell: 0.0
Energy of formation from the pure elements, eV per formula unit: 1.3

```
Mo2OsAu
1.0
4.718 -1.450 0.000
4.718 1.450 0.000
-0.955 0.000 4.643
Mo Os Au
2 1 1
Direct
0.244 0.244 0.228 Mo
0.756 0.756 0.772 Mo
0.500 0.500 0.000 Os
0.000 0.000 0.500 Au
```

***

Mo2OsAu: relaxed, PBE-GGA.

Uncorrected energy, eV/atom: -8.822
E above lowest polymorph, meV/atom: 105
Magnetization, Bohr magnetons per cell: 0.0
Energy of formation from the pure elements, eV per formula unit: 0.9

```
Mo2OsAu
1.0
-1.974 1.974 4.013
1.974 -1.974 4.013
1.974 1.974 -4.013
Mo Os Au
2 1 1
Direct
0.250 0.750 0.500 Mo
0.750 0.250 0.500 Mo
0.000 0.000 0.000 Os
0.500 0.500 0.000 Au
```

***

Mo2OsAu: relaxed, PBE-GGA.

Uncorrected energy, eV/atom: -8.688
E above lowest polymorph, meV/atom: 239
Magnetization, Bohr magnetons per cell: 0.0
Energy of formation from the pure elements, eV per formula unit: 1.4

```
Mo2OsAu
1.0
3.313 0.000 0.000
0.000 3.313 0.000
0.000 0.000 5.891
Mo Os Au
2 1 1
Direct
0.000 0.000 0.000 Mo
0.500 0.500 0.245 Mo
0.000 0.000 0.456 Os
0.500 0.500 0.732 Au
```

***

MoOs4Au: relaxed, PBE-GGA.

Uncorrected energy, eV/atom: -9.197
Magnetization, Bohr magnetons per cell: 0.0
Energy of formation from the pure elements, eV per formula unit: 3.8

```
MoOs4Au
1.0
0.000 3.637 3.637
3.637 0.000 3.637
3.637 3.637 0.000
Mo Os Au
1 4 1
Direct
0.000 0.000 0.000 Mo
0.375 0.375 0.375 Os
0.375 0.375 0.874 Os
0.375 0.874 0.375 Os
0.874 0.375 0.375 Os
0.750 0.750 0.750 Au
```

***

MoOs2Au: relaxed, PBE-GGA.

Uncorrected energy, eV/atom: -8.570
E above lowest polymorph, meV/atom: 320
Magnetization, Bohr magnetons per cell: 0.0
Energy of formation from the pure elements, eV per formula unit: 2.3

```
MoOs2Au
1.0
1.428 -2.305 0.000
1.428 2.305 0.000
0.000 0.000 9.651
Mo Os Au
1 2 1
Direct
0.000 0.000 0.000 Mo
0.000 0.000 0.529 Os
0.500 0.500 0.764 Os
0.500 0.500 0.263 Au
```

***

MoOs2Au: relaxed, PBE-GGA.

Uncorrected energy, eV/atom: -8.841
E above lowest polymorph, meV/atom: 49
Magnetization, Bohr magnetons per cell: 0.0
Energy of formation from the pure elements, eV per formula unit: 1.2

```
MoOs2Au
1.0
1.392 0.804 9.268
-1.392 0.804 9.268
0.000 -1.607 9.268
Mo Os Au
1 2 1
Direct
0.000 0.000 0.000 Mo
0.253 0.253 0.253 Os
0.510 0.510 0.510 Os
0.755 0.755 0.755 Au
```

***

MoOs2Au: relaxed, PBE-GGA.

Uncorrected energy, eV/atom: -8.415
E above lowest polymorph, meV/atom: 476
Magnetization, Bohr magnetons per cell: 0.0
Energy of formation from the pure elements, eV per formula unit: 2.9

```
MoOs2Au
1.0
0.000 3.157 3.157
3.157 0.000 3.157
3.157 3.157 0.000
Mo Os Au
1 2 1
Direct
0.000 0.000 0.000 Mo
0.500 0.500 0.500 Os
0.750 0.750 0.750 Os
0.250 0.250 0.250 Au
```

***

MoOs2Au: relaxed, PBE-GGA.

Uncorrected energy, eV/atom: -8.744
E above lowest polymorph, meV/atom: 147
Magnetization, Bohr magnetons per cell: 0.0
Energy of formation from the pure elements, eV per formula unit: 1.6

```
MoOs2Au
1.0
2.756 -2.760 0.000
2.756 2.760 0.000
-2.754 0.000 4.039
Mo Os Au
1 2 1
Direct
0.000 0.000 0.000 Mo
0.244 0.756 0.500 Os
0.482 0.518 0.000 Os
0.742 0.258 0.500 Au
```